CeTh3Zn4: optimized geometry, GGA-PBE.

a = 5.1721 Å, b = 5.1721 Å, c = 25.3467 Å
α = 90.00°, β = 90.00°, γ = 120.00°
Closest atoms and distances in Å follow each position.
Space group R-3m (No. 166, hexagonal axes)
Inequivalent atoms, fractional coordinates:
Ce: 0.0000 0.0000 0.0000  8 Zn 3.15-3.16
Th: 0.0000 0.0000 0.2497  8 Zn 3.15-3.18
Th: 0.0000 0.0000 0.5000  8 Zn 3.17-3.19
Zn: 0.0000 0.0000 0.1243  1 Ce 3.15, 7 Th 3.16-3.18
Zn: 0.0000 0.0000 0.3742  5 Th 3.15-3.19, 3 Ce 3.16

Results
D(E_F)   11.56 states/eV/f.u.
Crystal system   trigonal
Calculated formation energy   -170 meV/atom